[1]
CdIn | GGA-PBE | relaxed

Calculated values
Energy of formation ... 0.095 eV per atom
Space group ... P-3m1, No. 164

Geometry as CIF:
```
data_CdIn
_chemical_formula_sum 'Cd2 In2'
_cell_length_a 4.652
_cell_length_b 4.652
_cell_length_c 6.173
_cell_angle_alpha 90.00
_cell_angle_beta 90.00
_cell_angle_gamma 120.00
_symmetry_space_group_name_H-M 'P 1'
_symmetry_Int_Tables_number 1
_symmetry_space_group_name_Hall 'P 1'
loop_
_atom_site_label
_atom_site_fract_x
_atom_site_fract_y
_atom_site_fract_z
Cd1 0.333 0.667 0.122
Cd2 0.667 0.333 0.878
In1 0.333 0.667 0.627
In2 0.667 0.333 0.373
```

[2]
MgTi4S8 | GGA-PBE | relaxed

Calculated values
Energy above the lowest structure with this stoichiometry ... 0 meV per atom
Formation energy (no corrections) ... -132 kJ/mol of atoms
Space group ... C2/m, No. 12

Geometry as CIF:
```
data_MgTi4S8
_chemical_formula_sum 'Mg1 Ti4 S8'
_cell_length_a 6.834
_cell_length_b 6.834
_cell_length_c 8.548
_cell_angle_alpha 126.31
_cell_angle_beta 126.31
_cell_angle_gamma 60.09
_symmetry_space_group_name_H-M 'P 1'
_symmetry_Int_Tables_number 1
_symmetry_space_group_name_Hall 'P 1'
loop_
_atom_site_label
_atom_site_fract_x
_atom_site_fract_y
_atom_site_fract_z
Mg1 0.000 0.000 0.000
Ti1 0.259 0.259 0.512
Ti2 0.259 0.741 0.500
Ti3 0.741 0.259 0.500
Ti4 0.741 0.741 0.488
S1 0.027 0.027 0.724
S2 0.031 0.534 0.735
S3 0.466 0.466 0.264
S4 0.466 0.969 0.265
S5 0.534 0.031 0.735
S6 0.534 0.534 0.736
S7 0.969 0.466 0.265
S8 0.973 0.973 0.276
```

[3]
LiReAs2 | GGA-PBE | relaxed

Calculated values
Energy above the lowest structure with this stoichiometry ... 381 meV per atom
Energy of formation ... 0.194 eV per atom
Space group ... I-42d, No. 122

Geometry as CIF:
```
data_LiReAs2
_chemical_formula_sum 'Li2 Re2 As4'
_cell_length_a 6.851
_cell_length_b 6.851
_cell_length_c 6.851
_cell_angle_alpha 128.09
_cell_angle_beta 128.09
_cell_angle_gamma 76.48
_symmetry_space_group_name_H-M 'P 1'
_symmetry_Int_Tables_number 1
_symmetry_space_group_name_Hall 'P 1'
loop_
_atom_site_label
_atom_site_fract_x
_atom_site_fract_y
_atom_site_fract_z
Li1 0.000 0.000 0.000
Li2 0.750 0.250 0.500
Re1 0.250 0.750 0.500
Re2 0.500 0.500 0.000
As1 0.164 0.625 0.039
As2 0.375 0.414 0.539
As3 0.586 0.125 0.961
As4 0.875 0.836 0.461
```

Number 1: magnetization 0.0 μB/f.u., DFT total energy -6.93 eV/cell. Number 2: magnetization 0.0 μB/f.u., DFT total energy -83.94 eV/cell. Number 3: magnetization 0.0 μB/f.u., DFT total energy -45.77 eV/cell.